The following is a PBE-GGA calculation of an optimized crystal structure of NaSc2Te4, from the Alexandria database.

* Fermi-level density of states: 7.07 states/eV per cell
* M_tot: 0.0 μB per formula unit
* raw formation energy: -1.02 eV/atom
* E_tot: -67.4 eV/cell

abc: 4.0840 7.2643 14.7438
angles: 90.00 90.00 106.33
Atoms (fractional coordinates):
1 Te 0.7729 0.5458 0.1156
2 Te 0.7729 0.5458 0.3844
3 Te 0.5000 0.0000 0.0000
4 Te 0.2271 0.4542 0.6156
5 Te 0.2271 0.4542 0.8844
6 Te 0.9351 0.8703 0.7500
7 Te 0.0649 0.1297 0.2500
8 Te 0.5000 0.0000 0.5000
9 Sc 0.8628 0.7255 0.9350
10 Sc 0.1372 0.2745 0.0650
11 Sc 0.8628 0.7255 0.5650
12 Sc 0.1372 0.2745 0.4350
13 Na 0.6117 0.2234 0.7500
14 Na 0.3883 0.7766 0.2500